DFT (PBE) results for an optimized crystal structure of KReHg2.

Space-group type: No. 12
Formation energy in kJ/mol of atoms: 77.1
N(E_F) in states/eV per atom: 0.865
Crystal system: monoclinic
Excess energy over the best structure of this formula in the dataset in meV per atom: 88
Density in g cm⁻³: 10.652
Final energy in eV per atom: -2.7379

Structure (POSCAR):
```
KReHg2
1.0
4.701 -1.420 0.000
4.701 1.420 0.000
-0.602 0.000 7.312
K Re Hg
1 1 2
Direct
0.000 0.000 0.000 K
0.500 0.500 0.500 Re
0.240 0.240 0.689 Hg
0.760 0.760 0.311 Hg
```


DFT (PBE) results for an optimized crystal structure of PAuC2.

Space-group type: No. 65
Formation energy in kJ/mol of atoms: 55.6
N(E_F) in states/eV per atom: 0.238
Crystal system: orthorhombic
Density in g cm⁻³: 7.404
Final energy in eV per atom: -6.2079

Structure (POSCAR):
```
PAuC2
1.0
1.266 -4.378 0.000
1.266 4.378 0.000
0.000 0.000 5.098
P Au C
1 1 2
Direct
0.000 0.000 0.000 P
0.000 0.000 0.500 Au
0.214 0.786 0.000 C
0.786 0.214 0.000 C
```


DFT (PBE) results for an optimized crystal structure of NbV8Mo6.

Space-group type: No. 148
Formation energy in kJ/mol of atoms: 17.8
N(E_F) in states/eV per atom: 1.144
Crystal system: trigonal
Density in g cm⁻³: 7.741
Final energy in eV per atom: -9.6821

Structure (POSCAR):
```
NbV8Mo6
1.0
3.523 2.034 5.370
-3.523 2.034 5.370
0.000 -4.068 5.370
Nb V Mo
1 8 6
Direct
0.000 0.000 0.000 Nb
0.123 0.615 0.870 V
0.130 0.877 0.385 V
0.247 0.247 0.247 V
0.385 0.130 0.877 V
0.615 0.870 0.123 V
0.753 0.753 0.753 V
0.870 0.123 0.615 V
0.877 0.385 0.130 V
0.141 0.386 0.617 Mo
0.383 0.859 0.614 Mo
0.386 0.617 0.141 Mo
0.614 0.383 0.859 Mo
0.617 0.141 0.386 Mo
0.859 0.614 0.383 Mo
```


DFT (PBE) results for an optimized crystal structure of Ga6Ru.

Space-group type: No. 63
Formation energy in kJ/mol of atoms: -13.6
N(E_F) in states/eV per atom: 0.217
Crystal system: orthorhombic
Density in g cm⁻³: 7.366
Final energy in eV per atom: -4.0606

Structure (POSCAR):
```
Ga6Ru
1.0
3.719 -3.363 0.000
3.719 3.363 0.000
0.000 0.000 9.362
Ga Ru
12 2
Direct
0.025 0.614 0.250 Ga
0.137 0.863 0.603 Ga
0.137 0.863 0.897 Ga
0.317 0.317 0.000 Ga
0.317 0.317 0.500 Ga
0.386 0.975 0.250 Ga
0.614 0.025 0.750 Ga
0.683 0.683 0.000 Ga
0.683 0.683 0.500 Ga
0.863 0.137 0.103 Ga
0.863 0.137 0.397 Ga
0.975 0.386 0.750 Ga
0.466 0.534 0.750 Ru
0.534 0.466 0.250 Ru
```